Record 1
PBE KTcPt, optimized geometry; theoretical density = 7.8 g cm⁻³; crystal system = triclinic; energy relative to the elements = 0.3776 eV per atom
1.0
2.913 0.019 0.001
1.347 6.239 -0.039
-0.012 0.449 7.750
Pt Tc K
2 2 2
Direct
0.547 0.875 0.305
0.115 0.734 0.031
0.028 0.914 0.584
0.633 0.696 0.753
0.267 0.402 0.398
0.394 0.208 0.939


Record 2
PBE KTc2Pt, optimized geometry; theoretical density = 10.6 g cm⁻³; crystal system = cubic; energy relative to the elements = 1.3741 eV per atom
1.0
0.000 3.233 3.233
3.233 0.000 3.233
3.233 3.233 0.000
Tc K Pt
2 1 1
Direct
0.250 0.250 0.250
0.750 0.750 0.750
0.000 0.000 0.000
0.500 0.500 0.500


Record 3
PBE KTc2Pt, optimized geometry; theoretical density = 10.4 g cm⁻³; crystal system = tetragonal; energy relative to the elements = 1.1212 eV per atom
1.0
4.603 -0.063 0.000
0.082 4.603 0.000
-2.343 -2.270 3.248
K Pt Tc
1 1 2
Direct
0.500 0.500 0.000
0.750 0.250 0.500
0.250 0.750 0.500
0.000 0.000 0.000


Record 4
PBE KTc2Pt, optimized geometry; theoretical density = 9.8 g cm⁻³; crystal system = tetragonal; energy relative to the elements = 0.7643 eV per atom
1.0
2.690 0.000 0.000
0.000 2.690 0.000
0.000 0.000 10.089
Pt Tc K
1 2 1
Direct
0.500 0.500 0.750
0.000 0.000 0.546
0.000 0.000 0.954
0.500 0.500 0.250


Record 5
PBE KTc2Pt2, optimized geometry; theoretical density = 11.6 g cm⁻³; crystal system = tetragonal; energy relative to the elements = 0.1877 eV per atom
1.0
8.163 0.000 0.000
0.000 8.163 0.000
0.000 0.000 2.693
Pt K Tc
4 2 4
Direct
0.685 0.815 0.500
0.185 0.685 0.500
0.815 0.315 0.500
0.315 0.185 0.500
0.000 0.000 0.000
0.500 0.500 0.000
0.606 0.106 0.000
0.106 0.394 0.000
0.394 0.894 0.000
0.894 0.606 0.000


Record 6
PBE KTcPt, optimized geometry; theoretical density = 9.1 g cm⁻³; crystal system = hexagonal; energy relative to the elements = 0.9843 eV per atom
1.0
-3.755 3.228 0.315
0.232 -3.171 -3.809
-3.026 -3.810 2.988
Tc K Pt
2 2 2
Direct
0.333 0.667 0.750
0.667 0.333 0.250
0.000 0.000 0.500
0.000 0.000 0.000
0.667 0.333 0.750
0.333 0.667 0.250


Record 7
PBE KTcPt, optimized geometry; theoretical density = 7.4 g cm⁻³; crystal system = hexagonal; energy relative to the elements = 0.7109 eV per atom
1.0
4.047 -2.337 0.000
0.000 4.673 0.000
0.000 0.000 7.911
K Tc Pt
2 2 2
Direct
0.667 0.333 0.000
0.667 0.333 0.500
0.333 0.667 0.858
0.333 0.667 0.142
0.000 0.000 0.175
0.000 0.000 0.825


Record 8
PBE KTcPt4, optimized geometry; theoretical density = 13.7 g cm⁻³; crystal system = cubic; energy relative to the elements = 0.2924 eV per atom
1.0
0.000 3.817 3.817
3.817 0.000 3.817
3.817 3.817 0.000
Pt Tc K
4 1 1
Direct
0.874 0.375 0.375
0.375 0.375 0.375
0.375 0.375 0.874
0.375 0.874 0.375
0.750 0.750 0.750
0.000 0.000 0.000


Record 9
PBE KTc2Pt, optimized geometry; theoretical density = 10.2 g cm⁻³; crystal system = orthorhombic; energy relative to the elements = 1.0406 eV per atom
1.0
5.605 -0.021 0.000
-2.938 4.774 0.000
0.000 0.000 2.614
Tc K Pt
2 1 1
Direct
0.000 0.000 0.000
0.500 0.500 0.000
0.500 0.000 0.500
0.000 0.500 0.500


Record 10
PBE KTcPt, optimized geometry; theoretical density = 8.5 g cm⁻³; crystal system = cubic; energy relative to the elements = 1.3337 eV per atom
1.0
0.000 3.184 3.184
3.184 0.000 3.184
3.184 3.184 0.000
Tc Pt K
1 1 1
Direct
0.000 0.000 0.000
0.750 0.750 0.750
0.250 0.250 0.250


Record 11
PBE KTcPt, optimized geometry; theoretical density = 9.6 g cm⁻³; crystal system = hexagonal; energy relative to the elements = 1.0084 eV per atom
1.0
-2.509 -2.899 3.183
4.470 -1.427 -1.677
1.169 1.246 2.056
K Pt Tc
1 1 1
Direct
0.000 0.000 0.000
0.667 0.333 0.500
0.333 0.667 0.500


Record 12
PBE KTc2Pt, optimized geometry; theoretical density = 10.0 g cm⁻³; crystal system = tetragonal; energy relative to the elements = 1.2557 eV per atom
1.0
3.836 0.000 0.000
0.000 3.836 0.000
0.000 0.000 4.835
Tc K Pt
2 1 1
Direct
0.500 0.500 0.000
0.000 0.000 0.000
0.500 0.000 0.500
0.000 0.500 0.500


Number 1: uncorrected energy -32.74 eV/cell, N(E_F) 7.101 states/eV per cell. Number 2: uncorrected energy -22.37 eV/cell, N(E_F) 8.456 states/eV per cell. Number 3: uncorrected energy -23.39 eV/cell, N(E_F) 4.586 states/eV per cell. Number 4: uncorrected energy -24.81 eV/cell, N(E_F) 6.867 states/eV per cell. Number 5: uncorrected energy -65.95 eV/cell, N(E_F) 10.982 states/eV per cell. Number 6: uncorrected energy -29.10 eV/cell, N(E_F) 5.955 states/eV per cell. Number 7: uncorrected energy -30.74 eV/cell, N(E_F) 8.551 states/eV per cell. Number 8: uncorrected energy -33.87 eV/cell, N(E_F) 3.741 states/eV per cell. Number 9: uncorrected energy -23.71 eV/cell, N(E_F) 4.137 states/eV per cell. Number 10: uncorrected energy -13.50 eV/cell, N(E_F) 4.323 states/eV per cell. Number 11: uncorrected energy -14.48 eV/cell, N(E_F) 4.429 states/eV per cell. Number 12: uncorrected energy -22.85 eV/cell, N(E_F) 4.672 states/eV per cell.